No. 1
A relaxed Mg2SnSbN4 crystal. Source: the Alexandria database, functional PBE-GGA.

a b c (Å): 7.2147 5.9597 5.4754
angles (deg): 90.00 90.00 90.00
With the nearest neighbours (Å) after each atom.
Element x y z (fractional)
Mg1 0.2500 0.1704 0.0000  4 N 2.12-2.16
Mg2 0.2500 0.8296 0.5000  4 N 2.12-2.16
Mg3 0.7500 0.1704 0.0000  4 N 2.12-2.16
Mg4 0.7500 0.8296 0.5000  4 N 2.12-2.16
Sn1 0.0000 0.3277 0.5011  4 N 2.12-2.14
Sn2 0.5000 0.6723 0.0011  4 N 2.12-2.14
Sb1 0.0000 0.6774 0.9994  4 N 2.08-2.11
Sb2 0.5000 0.3226 0.4994  4 N 2.08-2.11
N1 0.0000 0.3429 0.8915  1 Sb 2.08, 1 Sn 2.14, 2 Mg 2.16
N2 0.0000 0.6661 0.3792  1 Sb 2.08, 1 Sn 2.12, 2 Mg 2.15
N3 0.2497 0.1709 0.3901  1 Sb 2.11, 1 Sn 2.12, 2 Mg 2.12-2.14
N4 0.2503 0.8291 0.8901  1 Sb 2.11, 1 Sn 2.12, 2 Mg 2.12-2.14
N5 0.5000 0.3339 0.8792  1 Sb 2.08, 1 Sn 2.12, 2 Mg 2.15
N6 0.5000 0.6571 0.3915  1 Sb 2.08, 1 Sn 2.14, 2 Mg 2.16
N7 0.7503 0.1709 0.3901  1 Sb 2.11, 1 Sn 2.12, 2 Mg 2.12-2.14
N8 0.7497 0.8291 0.8901  1 Sb 2.11, 1 Sn 2.12, 2 Mg 2.12-2.14

## Properties
energy relative to the elements, uncorrected	-189	meV/atom
crystal system	orthorhombic
ρ	4.9	g cm⁻³
V	235.4	Å³/cell
DOS at the Fermi energy	1.1	states/eV/cell


No. 2
A relaxed Sr2MgSbN crystal. Source: the Alexandria database, functional PBE-GGA.

a b c (Å): 5.3355 5.3355 4.3240
angles (deg): 90.00 90.00 90.00
With the nearest neighbours (Å) after each atom.
Element x y z (fractional)
Sr1 0.0000 0.5000 0.0000  2 N 2.67
Sr2 0.5000 0.0000 0.0000  2 N 2.67
Mg1 0.0000 0.0000 0.5000  2 N 2.16
Sb1 0.5000 0.5000 0.5000  8 Sr 3.43, 4 Mg 3.77
N1 0.0000 0.0000 0.0000  2 Mg 2.16

## Properties
energy relative to the elements, uncorrected	-805	meV/atom
crystal system	tetragonal
ρ	4.5	g cm⁻³
V	123.1	Å³/cell
DOS at the Fermi energy	0.4	states/eV/cell


No. 3
A relaxed MgTc2SbN crystal. Source: the Alexandria database, functional PBE-GGA.

a b c (Å): 4.9709 4.9709 5.2444
angles (deg): 90.00 90.00 90.00
With the nearest neighbours (Å) after each atom.
Element x y z (fractional)
Mg1 0.0000 0.0000 0.0000  2 Sb 2.62
Tc1 0.0000 0.5000 0.5000  2 Sb 2.49
Tc2 0.5000 0.0000 0.5000  2 Sb 2.49
Sb1 0.0000 0.0000 0.5000  4 Tc 2.49, 2 Mg 2.62
N1 0.5000 0.5000 0.0000  4 Mg 3.51, 8 Tc 3.61

## Properties
energy relative to the elements, uncorrected	2492	meV/atom
crystal system	tetragonal
ρ	4.6	g cm⁻³
V	129.6	Å³/cell
ΔE to the lowest computed polymorph	936	meV per atom
DOS at the Fermi energy	7.8	states/eV/cell


No. 4
A relaxed MgTc2SbN crystal. Source: the Alexandria database, functional PBE-GGA.

a b c (Å): 4.7918 4.7918 3.6370
angles (deg): 90.00 90.00 90.00
With the nearest neighbours (Å) after each atom.
Element x y z (fractional)
Mg1 0.0000 0.0000 0.0000  2 N 1.82
Tc1 0.0000 0.5000 0.0000  2 Mg 2.40
Tc2 0.5000 0.0000 0.0000  2 Mg 2.40
Sb1 0.5000 0.5000 0.5000  8 Tc 3.01
N1 0.0000 0.0000 0.5000  2 Mg 1.82

## Properties
energy relative to the elements, uncorrected	1556	meV/atom
crystal system	tetragonal
ρ	7.1	g cm⁻³
V	83.5	Å³/cell
ΔE to the lowest computed polymorph	0	meV per atom
DOS at the Fermi energy	5.0	states/eV/cell